Entry 1:
CaCdCoSn2 | PBE | optimized geometry

The structure in POSCAR format:
```
CaCdCoSn2
1.0
4.9011 0.0000 0.0000
0.0000 4.9011 0.0000
0.0000 0.0000 5.3204
Sn Co Cd Ca
2 1 1 1
Direct
0.5000 0.0000 0.0000
0.0000 0.5000 0.0000
0.0000 0.0000 0.0000
0.5000 0.5000 0.5000
0.0000 0.0000 0.5000
```

Results
The value obtained for the formation energy is -0.110 eV/atom. As for the volume: 127.8 Å³/cell. As for the calculated total energy: -3.72 eV per atom. The value obtained for the energy relative to the lowest polymorph listed for this composition is 28 meV per atom.

Entry 2:
Rb2TcP | PBE | optimized geometry

The structure in POSCAR format:
```
Rb2TcP
1.0
-12.9823 -1.9859 -0.2333
0.6789 -5.8192 11.7565
-6.4782 -1.8872 6.7780
Tc P Rb
2 2 4
Direct
0.0000 0.0000 0.0000
0.7500 0.2500 0.5000
0.5000 0.5000 0.0000
0.2500 0.7500 0.5000
0.4217 0.1250 0.2500
0.3283 0.6250 0.2500
0.3750 0.5783 0.7500
0.8750 0.6717 0.7500
```

Results
The value obtained for the formation energy is 0.382 eV/atom. As for the volume: 393.5 Å³/cell. As for the calculated total energy: -4.05 eV per atom.

Entry 3:
Sc3Ag2Hg3 | PBE | optimized geometry

The structure in POSCAR format:
```
Sc3Ag2Hg3
1.0
-0.3984 -3.2669 -0.9051
1.9966 1.7271 -7.1130
5.2942 -2.0410 5.0369
Hg Sc Ag
3 3 2
Direct
0.0000 0.2392 0.0000
0.0000 0.0000 0.2392
0.0000 0.7608 0.7608
0.5000 0.0000 0.6020
0.5000 0.3980 0.3980
0.5000 0.6020 0.0000
0.0000 0.3333 0.6667
0.0000 0.6667 0.3333
```

Results
The value obtained for the formation energy is -0.269 eV/atom. As for the volume: 170.2 Å³/cell. As for the calculated total energy: -3.47 eV per atom.

Entry 4:
PaMn10Si2 | PBE | optimized geometry

The structure in POSCAR format:
```
PaMn10Si2
1.0
-5.7298 1.4123 2.3100
-1.8766 -3.6243 -4.8481
0.3070 -6.4655 4.7145
Mn Pa Si
20 2 4
Direct
0.6282 0.8741 0.2500
0.7813 0.7813 0.0000
0.2187 0.2187 0.0000
0.2550 0.4745 0.7500
0.3718 0.1259 0.7500
0.7450 0.5255 0.2500
0.8267 0.1733 0.3944
0.8267 0.1733 0.1056
0.1733 0.8267 0.8944
0.7813 0.7813 0.5000
0.8741 0.6282 0.7500
0.1733 0.8267 0.6056
0.5255 0.7450 0.7500
0.3960 0.6040 0.0710
0.3960 0.6040 0.4290
0.6040 0.3960 0.9290
0.1259 0.3718 0.2500
0.4745 0.2550 0.2500
0.6040 0.3960 0.5710
0.2187 0.2187 0.5000
0.8743 0.1257 0.7500
0.1257 0.8743 0.2500
0.0000 0.5000 0.5000
0.5000 0.0000 0.0000
0.0000 0.5000 0.0000
0.5000 0.0000 0.5000
```

Results
As for the volume: 318.5 Å³/cell. As for the uncorrected formation energy: -226 meV/atom. As for the calculated total energy: -8.84 eV per atom.

Entry 5:
CePm3Sc2Se6 | PBE | optimized geometry

The structure in POSCAR format:
```
CePm3Sc2Se6
1.0
-2.6207 -4.0672 -5.1578
-2.7723 -0.2791 6.4999
-2.5157 6.3444 -2.0943
Se Sc Ce Pm
6 2 1 3
Direct
0.2729 0.2729 0.7726
0.7271 0.7271 0.2274
0.5738 0.9221 0.7654
0.0779 0.4262 0.2346
0.9221 0.5738 0.7654
0.4262 0.0779 0.2346
0.3322 0.6678 0.0000
0.6678 0.3322 0.0000
0.0000 0.0000 0.0000
0.8396 0.1604 0.5000
0.5000 0.5000 0.5000
0.1604 0.8396 0.5000
```

Results
As for the volume: 291.0 Å³/cell. As for the uncorrected formation energy: -1734 meV/atom. As for the calculated total energy: -6.21 eV per atom.

Entry 6:
Rb2TcCF6 | PBE | optimized geometry

The structure in POSCAR format:
```
Rb2TcCF6
1.0
-4.2685 -4.3418 1.5217
4.1904 -2.8121 3.7308
-1.5042 -0.8356 6.3382
F Rb C Tc
6 2 1 1
Direct
0.7962 0.7962 0.4075
0.7768 0.2232 0.0000
0.2232 0.2232 0.0000
0.2038 0.2038 0.5925
0.2232 0.7768 0.0000
0.7768 0.7768 0.0000
0.2500 0.7500 0.5000
0.7500 0.2500 0.5000
0.5000 0.5000 0.0000
0.0000 0.0000 0.0000
```

Results
As for the volume: 190.7 Å³/cell. As for the uncorrected formation energy: -1497 meV/atom. As for the calculated total energy: -4.77 eV per atom.

Entry 7:
KTm2RuO8 | PBE | optimized geometry

The structure in POSCAR format:
```
KTm2RuO8
1.0
5.2838 0.0364 0.0028
0.0378 4.0103 0.5373
0.0396 0.8787 7.0134
O Ru Tm K
8 1 2 1
Direct
0.3265 0.1863 0.0826
0.5059 0.8184 0.4964
0.7893 0.2120 0.1421
0.2107 0.7880 0.8579
0.0534 0.6422 0.2317
0.6735 0.8137 0.9174
0.9466 0.3578 0.7683
0.4941 0.1816 0.5036
0.0000 0.0000 0.0000
0.4782 0.6159 0.2117
0.5218 0.3841 0.7883
0.0000 0.0000 0.5000
```

Results
As for the volume: 146.1 Å³/cell. As for the uncorrected formation energy: -1870 meV/atom. As for the calculated total energy: -6.78 eV per atom.

Entry 8:
SrAl2Tl | PBE | optimized geometry

The structure in POSCAR format:
```
SrAl2Tl
1.0
-1.8117 -1.0345 -4.6460
0.8513 -4.0641 -2.9489
-4.6613 -3.7787 0.5685
Tl Sr Al
1 1 2
Direct
0.7500 0.7500 0.7500
0.2500 0.2500 0.2500
0.4812 0.4812 0.6116
0.0188 0.0188 0.8884
```

Results
The value obtained for the formation energy is 0.009 eV/atom. As for the volume: 113.6 Å³/cell. As for the calculated total energy: -2.87 eV per atom. The value obtained for the energy relative to the lowest polymorph listed for this composition is 171 meV per atom.